<P>
Here is a relaxed La7Nd3Y2 crystal from Alexandria. Energies are from PBE.

Properties
**Total magnetization**: 0.0 μB/f.u.

abc: 6.0370 3.6457 19.6086
angles: 90.00 93.49 90.00
Positions (direct):
La 0.0000 0.0000 0.0000
La 0.1798 0.5000 0.1831
La 0.2560 0.5000 0.5331
La 0.3229 0.0000 0.8541
La 0.6771 0.0000 0.1459
La 0.7440 0.5000 0.4669
La 0.8202 0.5000 0.8169
Nd 0.2193 0.0000 0.3646
Nd 0.5000 0.5000 0.0000
Nd 0.7807 0.0000 0.6354
Y 0.2915 0.5000 0.7026
Y 0.7085 0.5000 0.2974


<Q>
Here is a relaxed La7Nd3Y2 crystal from Alexandria. Energies are from PBE.

Properties
**Total magnetization**: 0.0 μB/f.u.

abc: 6.6151 3.6066 18.0569
angles: 90.00 95.89 90.00
Positions (direct):
La 0.0000 0.0000 0.0000
La 0.2223 0.5000 0.1712
La 0.2621 0.5000 0.4921
La 0.2722 0.0000 0.8320
La 0.7278 0.0000 0.1680
La 0.7379 0.5000 0.5079
La 0.7777 0.5000 0.8288
Nd 0.4548 0.0000 0.3364
Nd 0.5000 0.5000 0.0000
Nd 0.5452 0.0000 0.6636
Y 0.0561 0.5000 0.6692
Y 0.9439 0.5000 0.3308


Quick look at relative energies in eV/atom: <P> 0.021; <Q> 0.000.


<P>
Here is a relaxed La3NdY2 crystal from Alexandria. Energies are from PBE.

Properties
**Total magnetization**: 0.0 μB/f.u.

abc: 9.9402 3.6213 11.8046
angles: 90.00 94.19 90.00
Positions (direct):
La 0.0747 0.2500 0.1192
La 0.2426 0.2500 0.8644
La 0.4010 0.2500 0.6071
La 0.5990 0.7500 0.3929
La 0.7574 0.7500 0.1356
La 0.9253 0.7500 0.8808
Nd 0.2437 0.7500 0.3566
Nd 0.7563 0.2500 0.6434
Y 0.0782 0.7500 0.6188
Y 0.4393 0.2500 0.1373
Y 0.5607 0.7500 0.8627
Y 0.9218 0.2500 0.3812


<Q>
Here is a relaxed La3NdY2 crystal from Alexandria. Energies are from PBE.

Properties
**Total magnetization**: 0.0 μB/f.u.

abc: 6.3535 6.3535 12.2171
angles: 110.32 110.32 70.25
Positions (direct):
La 0.0428 0.2914 0.5834
La 0.1250 0.8750 0.7500
La 0.2914 0.0428 0.0834
La 0.7086 0.9572 0.9166
La 0.8750 0.1250 0.2500
La 0.9572 0.7086 0.4166
Nd 0.3743 0.6257 0.2500
Nd 0.6257 0.3743 0.7500
Y 0.2092 0.4592 0.9179
Y 0.4592 0.2092 0.4179
Y 0.5408 0.7908 0.5821
Y 0.7908 0.5408 0.0821


Quick look at relative energies in eV/atom: <P> 0.057; <Q> 0.000.


<P>
Here is a relaxed La2Nd5Y3 crystal from Alexandria. Energies are from PBE.

Properties
**Total magnetization**: 0.0 μB/f.u.

abc: 9.4824 9.4824 9.9296
angles: 109.20 109.20 107.84
Positions (direct):
La 0.0256 0.2761 0.0566
La 0.2761 0.0256 0.5566
La 0.7239 0.9744 0.4434
La 0.9744 0.7239 0.9434
Nd 0.1431 0.3837 0.7654
Nd 0.2257 0.7743 0.7500
Nd 0.2650 0.7350 0.2500
Nd 0.3837 0.1431 0.2654
Nd 0.4684 0.5316 0.2500
Nd 0.5316 0.4684 0.7500
Nd 0.6163 0.8569 0.7346
Nd 0.7350 0.2650 0.7500
Nd 0.7743 0.2257 0.2500
Nd 0.8569 0.6163 0.2346
Y 0.0186 0.9814 0.7500
Y 0.2219 0.4687 0.4523
Y 0.4687 0.2219 0.9523
Y 0.5313 0.7781 0.0477
Y 0.7781 0.5313 0.5477
Y 0.9814 0.0186 0.2500


<Q>
Here is a relaxed La2Nd5Y3 crystal from Alexandria. Energies are from PBE.

Properties
**Total magnetization**: 0.0 μB/f.u.

abc: 11.2063 11.2063 11.2063
angles: 113.43 76.99 145.85
Positions (direct):
La 0.1707 0.0848 0.2554
La 0.3293 0.5848 0.9141
La 0.6707 0.4152 0.0859
La 0.8293 0.9152 0.7446
Nd 0.1667 0.7375 0.9043
Nd 0.2500 0.0021 0.7521
Nd 0.2500 0.4979 0.2479
Nd 0.2500 0.7500 0.5000
Nd 0.3333 0.2375 0.5708
Nd 0.6667 0.7625 0.4292
Nd 0.7500 0.2500 0.5000
Nd 0.7500 0.5021 0.7521
Nd 0.7500 0.9979 0.2479
Nd 0.8333 0.2625 0.0957
Y 0.1673 0.4059 0.5732
Y 0.2500 0.2500 0.0000
Y 0.3327 0.9059 0.2386
Y 0.6673 0.0941 0.7614
Y 0.7500 0.7500 0.0000
Y 0.8327 0.5941 0.4268


Quick look at relative energies in eV/atom: <P> 0.000; <Q> 0.081.


<P>
Here is a relaxed LaNd2Y6 crystal from Alexandria. Energies are from PBE.

Properties
**Total magnetization**: 0.0 μB/f.u.

abc: 9.6752 9.6752 6.6697
angles: 98.22 98.22 95.12
Positions (direct):
La 0.1208 0.8792 0.7500
La 0.8792 0.1208 0.2500
Nd 0.3332 0.3878 0.6285
Nd 0.3878 0.3332 0.1285
Nd 0.6122 0.6668 0.8715
Nd 0.6668 0.6122 0.3715
Y 0.0508 0.2209 0.8169
Y 0.0578 0.4606 0.2670
Y 0.2209 0.0508 0.3169
Y 0.2780 0.6554 0.0000
Y 0.3446 0.7220 0.5000
Y 0.4606 0.0578 0.7670
Y 0.5394 0.9422 0.2330
Y 0.6554 0.2780 0.5000
Y 0.7220 0.3446 0.0000
Y 0.7791 0.9492 0.6831
Y 0.9422 0.5394 0.7330
Y 0.9492 0.7791 0.1831


<Q>
Here is a relaxed LaNd2Y6 crystal from Alexandria. Energies are from PBE.

Properties
**Total magnetization**: 0.0 μB/f.u.

abc: 3.6171 8.8778 9.5470
angles: 89.85 79.15 89.92
Positions (direct):
La 0.0000 0.0000 0.0000
Nd 0.4442 0.3345 0.1127
Nd 0.5558 0.6655 0.8873
Y 0.1127 0.3336 0.7740
Y 0.2227 0.6660 0.5545
Y 0.3315 0.9999 0.3375
Y 0.6685 0.0001 0.6625
Y 0.7773 0.3340 0.4455
Y 0.8873 0.6664 0.2260


Quick look at relative energies in eV/atom: <P> 0.077; <Q> 0.000.


<P>
Here is a relaxed La8NdY2 crystal from Alexandria. Energies are from PBE.

Properties
**Total magnetization**: 0.0 μB/f.u.

abc: 9.6959 9.6959 6.1274
angles: 105.97 105.97 122.53
Positions (direct):
La 0.0973 0.3380 0.6889
La 0.2048 0.7952 0.0000
La 0.3380 0.0973 0.6889
La 0.4224 0.4224 0.2000
La 0.5776 0.5776 0.8000
La 0.6620 0.9027 0.3111
La 0.7952 0.2048 0.0000
La 0.9027 0.6620 0.3111
Nd 0.0000 0.0000 0.0000
Y 0.3116 0.6884 0.5000
Y 0.6884 0.3116 0.5000


<Q>
Here is a relaxed La8NdY2 crystal from Alexandria. Energies are from PBE.

Properties
**Total magnetization**: 0.0 μB/f.u.

abc: 6.3894 6.4192 9.8016
angles: 96.28 90.04 99.62
Positions (direct):
La 0.0929 0.0467 0.1813
La 0.1830 0.5900 0.3629
La 0.2721 0.1365 0.5467
La 0.3630 0.6850 0.7301
La 0.6370 0.3150 0.2699
La 0.7279 0.8635 0.4533
La 0.8170 0.4100 0.6371
La 0.9071 0.9533 0.8187
Nd 0.0000 0.5000 0.0000
Y 0.4543 0.2296 0.9113
Y 0.5457 0.7704 0.0887


Quick look at relative energies in eV/atom: <P> 0.101; <Q> 0.000.